Computed, not measured: a geometry-optimized Ba2Tl2Ag structure at the PBE level of DFT.

Properties
Formation energy from the elements   -0.21 eV per atom
Total moment   0.0 μB/f.u.

Unit cell a=8.318 b=8.318 c=5.283 alpha=90.00 beta=90.00 gamma=90.00
Space group P4/mbm (No. 127)
Inequivalent atoms, fractional coordinates:
Ba1 0.166 0.334 0.000
Tl1 0.139 0.639 0.500
Ag1 0.000 0.000 0.500

Computed, not measured: a geometry-optimized Mg3CrOs structure at the PBE level of DFT.

Properties
Formation energy from the elements   0.89 eV per atom
Total moment   4.7 μB/f.u.

Unit cell a=4.961 b=4.961 c=4.961 alpha=90.00 beta=90.00 gamma=90.00
Space group Pm-3m (No. 221)
Inequivalent atoms, fractional coordinates:
Mg1 0.000 0.000 0.500
Cr1 0.500 0.500 0.500
Os1 0.000 0.000 0.000

Computed, not measured: a geometry-optimized PmY2Pb structure at the PBE level of DFT.

Properties
Formation energy from the elements   -0.17 eV per atom
Total moment   0.0 μB/f.u.

Unit cell a=3.6318 b=3.6318 c=33.2063 alpha=90.00 beta=90.00 gamma=120.00
Space group R3m (No. 160, hexagonal axes)
Inequivalent atoms, fractional coordinates:
Pm1 0.0000 0.0000 0.0000
Y1 0.0000 0.0000 0.2454
Y2 0.0000 0.0000 0.4211
Pb1 0.0000 0.0000 0.8335

Computed, not measured: a geometry-optimized NiMo2Rh structure at the PBE level of DFT.

Properties
Formation energy from the elements   -0.06 eV per atom
Total moment   0.0 μB/f.u.

Unit cell a=5.362 b=7.817 c=2.706 alpha=90.00 beta=90.00 gamma=90.00
Space group Cmmm (No. 65)
Inequivalent atoms, fractional coordinates:
Ni1 0.000 0.000 0.000
Mo1 0.250 0.250 0.500
Rh1 0.000 0.500 0.000

Computed, not measured: a geometry-optimized K3PPd structure at the PBE level of DFT.

Properties
Formation energy from the elements   0.36 eV per atom
Total moment   1.9 μB/f.u.

Unit cell a=6.134 b=6.134 c=6.134 alpha=90.00 beta=90.00 gamma=90.00
Space group Pm-3m (No. 221)
Inequivalent atoms, fractional coordinates:
K1 0.000 0.000 0.500
P1 0.000 0.000 0.000
Pd1 0.500 0.500 0.500

Computed, not measured: a geometry-optimized CsSrF3 structure at the PBE level of DFT.

Properties
Total moment   0.0 μB/f.u.
Uncorrected formation energy   -3365.9 meV per atom

Unit cell a=13.175 b=9.296 c=6.970 alpha=90.00 beta=90.03 gamma=90.00
Space group C2/c (No. 15)
Inequivalent atoms, fractional coordinates:
Cs1 0.000 0.174 0.250
Cs2 0.000 0.326 0.750
Sr1 0.250 0.051 0.643
F1 0.124 0.057 0.914
F2 0.124 0.444 0.086
F3 0.249 0.186 0.318

What did we get for DFT total energy? Answer: -0.183, -0.311, -0.405, -0.644, -0.178, -0.367 Ry per atom, in the order shown.